Crystalline Ac12La3Sc at its relaxed geometry. Source: the Alexandria database, functional PBE.

POSCAR file:
```
Ac12La3Sc
1.0
5.519 0.000 0.000
0.000 5.519 0.000
0.000 0.000 22.082
Ac La Sc
12 3 1
Direct
0.000 0.000 0.000 Ac
0.000 0.000 0.247 Ac
0.000 0.000 0.500 Ac
0.000 0.000 0.753 Ac
0.000 0.500 0.120 Ac
0.000 0.500 0.373 Ac
0.000 0.500 0.627 Ac
0.000 0.500 0.880 Ac
0.500 0.000 0.120 Ac
0.500 0.000 0.373 Ac
0.500 0.000 0.627 Ac
0.500 0.000 0.880 Ac
0.500 0.500 0.246 La
0.500 0.500 0.500 La
0.500 0.500 0.754 La
0.500 0.500 0.000 Sc
```

Computed properties:
Formation enthalpy at 0 K ... 0.04 eV per atom
Volume ... 42.04 Å³ per atom
Fermi-level density of states ... 28.15 states/eV per cell

***

Crystalline Mn2BeHg at its relaxed geometry. Source: the Alexandria database, functional PBE.

POSCAR file:
```
Mn2BeHg
1.0
3.813 0.000 0.000
0.000 3.813 0.000
0.000 0.000 3.892
Mn Be Hg
2 1 1
Direct
0.000 0.500 0.000 Mn
0.500 0.000 0.000 Mn
0.000 0.000 0.500 Be
0.500 0.500 0.500 Hg
```

Computed properties:
Distance to the lowest polymorph of the same formula ... 135 meV/atom
Formation enthalpy at 0 K ... 0.36 eV per atom
Volume ... 14.14 Å³ per atom
Fermi-level density of states ... 4.15 states/eV per cell

***

Crystalline BaFe2ReGe at its relaxed geometry. Source: the Alexandria database, functional PBE.

POSCAR file:
```
BaFe2ReGe
1.0
4.889 0.000 0.000
0.000 4.889 0.000
0.000 0.000 4.841
Ba Fe Re Ge
1 2 1 1
Direct
0.000 0.000 0.000 Ba
0.000 0.500 0.500 Fe
0.500 0.000 0.500 Fe
0.500 0.500 0.500 Re
0.500 0.500 0.000 Ge
```

Computed properties:
Formation enthalpy at 0 K ... 0.58 eV per atom
Volume ... 23.14 Å³ per atom
Fermi-level density of states ... 6.15 states/eV per cell

***

Crystalline SbP2Os2 at its relaxed geometry. Source: the Alexandria database, functional PBE.

POSCAR file:
```
SbP2Os2
1.0
7.382 0.000 0.000
0.000 7.382 0.000
0.000 0.000 2.909
Sb P Os
2 4 4
Direct
0.000 0.000 0.000 Sb
0.500 0.500 0.000 Sb
0.136 0.364 0.500 P
0.364 0.864 0.500 P
0.636 0.136 0.500 P
0.864 0.636 0.500 P
0.136 0.636 0.000 Os
0.364 0.136 0.000 Os
0.636 0.864 0.000 Os
0.864 0.364 0.000 Os
```

Computed properties:
Distance to the lowest polymorph of the same formula ... 186 meV/atom
Raw formation energy ... 1.4 eV/f.u.
Volume ... 15.85 Å³ per atom
Fermi-level density of states ... 8.71 states/eV per cell

***

Crystalline KTl2Bi2Au at its relaxed geometry. Source: the Alexandria database, functional PBE.

POSCAR file:
```
KTl2Bi2Au
1.0
-2.730 2.730 8.643
2.730 -2.730 8.643
2.730 2.730 -8.643
K Tl Bi Au
1 2 2 1
Direct
0.000 0.000 0.000 K
0.250 0.750 0.500 Tl
0.750 0.250 0.500 Tl
0.344 0.344 0.000 Bi
0.656 0.656 0.000 Bi
0.500 0.500 0.000 Au
```

Computed properties:
Formation enthalpy at 0 K ... -0.07 eV per atom
Volume ... 42.95 Å³ per atom
Fermi-level density of states ... 1.57 states/eV per cell

***

Crystalline La5CeZn6 at its relaxed geometry. Source: the Alexandria database, functional PBE.

POSCAR file:
```
La5CeZn6
1.0
-2.644 3.738 7.923
2.644 -3.738 7.923
2.644 3.738 -7.923
La Ce Zn
5 1 6
Direct
0.000 0.000 0.000 La
0.166 0.666 0.500 La
0.334 0.334 0.000 La
0.666 0.666 0.000 La
0.834 0.334 0.500 La
0.500 0.000 0.500 Ce
0.090 0.836 0.254 Zn
0.258 0.500 0.758 Zn
0.418 0.164 0.254 Zn
0.582 0.836 0.746 Zn
0.742 0.500 0.242 Zn
0.910 0.164 0.746 Zn
```

Computed properties:
Formation enthalpy at 0 K ... -0.29 eV per atom
Volume ... 26.10 Å³ per atom
Fermi-level density of states ... 17.35 states/eV per cell

***

Crystalline MnMo2H6 at its relaxed geometry. Source: the Alexandria database, functional PBE.

POSCAR file:
```
MnMo2H6
1.0
-1.554 2.146 4.580
1.554 -2.146 4.580
1.554 2.146 -4.580
Mn Mo H
1 2 6
Direct
0.000 0.000 0.000 Mn
0.332 0.332 0.000 Mo
0.668 0.668 0.000 Mo
0.087 0.841 0.246 H
0.232 0.500 0.732 H
0.406 0.159 0.246 H
0.594 0.841 0.754 H
0.768 0.500 0.268 H
0.913 0.159 0.754 H
```

Computed properties:
Volume ... 6.79 Å³ per atom
Fermi-level density of states ... 4.06 states/eV per cell

***

Crystalline LuPaZn4 at its relaxed geometry. Source: the Alexandria database, functional PBE.

POSCAR file:
```
LuPaZn4
1.0
0.000 3.826 3.826
3.826 0.000 3.826
3.826 3.826 0.000
Lu Pa Zn
1 1 4
Direct
0.000 0.000 0.000 Lu
0.750 0.750 0.750 Pa
0.375 0.375 0.375 Zn
0.375 0.375 0.875 Zn
0.375 0.875 0.375 Zn
0.875 0.375 0.375 Zn
```

Computed properties:
Formation enthalpy at 0 K ... -0.15 eV per atom
Volume ... 18.67 Å³ per atom
Fermi-level density of states ... 6.27 states/eV per cell

***

Crystalline DyBi2Rh2 at its relaxed geometry. Source: the Alexandria database, functional PBE.

POSCAR file:
```
DyBi2Rh2
1.0
4.705 0.000 0.000
0.000 4.794 0.000
-0.004 0.000 10.156
Dy Bi Rh
2 4 4
Direct
0.249 0.250 0.173 Dy
0.751 0.750 0.827 Dy
0.249 0.250 0.835 Bi
0.251 0.250 0.501 Bi
0.749 0.750 0.499 Bi
0.751 0.750 0.165 Bi
0.249 0.750 0.327 Rh
0.254 0.750 0.994 Rh
0.746 0.250 0.006 Rh
0.751 0.250 0.673 Rh
```

Computed properties:
Formation enthalpy at 0 K ... -0.51 eV per atom
Volume ... 22.91 Å³ per atom
Fermi-level density of states ... 5.75 states/eV per cell

***

Crystalline TaTeMo2 at its relaxed geometry. Source: the Alexandria database, functional PBE.

POSCAR file:
```
TaTeMo2
1.0
3.222 0.000 0.000
0.000 4.167 0.000
0.000 0.000 5.580
Ta Te Mo
1 1 2
Direct
0.000 0.000 0.000 Ta
0.000 0.000 0.500 Te
0.500 0.500 0.212 Mo
0.500 0.500 0.788 Mo
```

Computed properties:
Raw formation energy ... 1.2 eV/f.u.
Volume ... 18.73 Å³ per atom
Fermi-level density of states ... 2.43 states/eV per cell

***

Crystalline KSrSe2 at its relaxed geometry. Source: the Alexandria database, functional PBE.

POSCAR file:
```
KSrSe2
1.0
2.250 1.299 7.853
-2.250 1.299 7.853
0.000 -2.598 7.853
K Sr Se
1 1 2
Direct
0.000 0.000 0.000 K
0.171 0.171 0.171 Sr
0.576 0.576 0.576 Se
0.763 0.763 0.763 Se
```

Computed properties:
Raw formation energy ... -5.1 eV/f.u.
Volume ... 34.43 Å³ per atom
Fermi-level density of states ... 5.99 states/eV per cell

***

Crystalline KMg2In at its relaxed geometry. Source: the Alexandria database, functional PBE.

POSCAR file:
```
KMg2In
1.0
5.039 -1.687 0.000
5.039 1.687 0.000
-0.771 0.000 7.236
K Mg In
1 2 1
Direct
0.000 0.000 0.000 K
0.236 0.236 0.681 Mg
0.764 0.764 0.319 Mg
0.500 0.500 0.500 In
```

Computed properties:
Formation enthalpy at 0 K ... 0.08 eV per atom
Volume ... 30.75 Å³ per atom
Fermi-level density of states ... 1.62 states/eV per cell

***

Crystalline NaLi12Tl3 at its relaxed geometry. Source: the Alexandria database, functional PBE.

POSCAR file:
```
NaLi12Tl3
1.0
4.364 0.000 0.000
0.000 4.364 0.000
0.000 0.000 16.952
Na Li Tl
1 12 3
Direct
0.000 0.000 0.000 Na
0.000 0.500 0.143 Li
0.000 0.500 0.381 Li
0.000 0.500 0.619 Li
0.000 0.500 0.857 Li
0.500 0.000 0.143 Li
0.500 0.000 0.381 Li
0.500 0.000 0.619 Li
0.500 0.000 0.857 Li
0.500 0.500 0.000 Li
0.500 0.500 0.261 Li
0.500 0.500 0.500 Li
0.500 0.500 0.739 Li
0.000 0.000 0.265 Tl
0.000 0.000 0.500 Tl
0.000 0.000 0.735 Tl
```

Computed properties:
Formation enthalpy at 0 K ... -0.13 eV per atom
Volume ... 20.18 Å³ per atom
Fermi-level density of states ... 7.68 states/eV per cell

***

Crystalline Nb3VS6 at its relaxed geometry. Source: the Alexandria database, functional PBE.

POSCAR file:
```
Nb3VS6
1.0
4.888 -6.169 0.000
4.888 6.169 0.000
0.000 0.000 5.917
Nb V S
6 2 12
Direct
0.085 0.915 0.500 Nb
0.232 0.466 0.400 Nb
0.466 0.232 0.900 Nb
0.534 0.768 0.400 Nb
0.768 0.534 0.900 Nb
0.915 0.085 0.000 Nb
0.309 0.691 0.812 V
0.691 0.309 0.312 V
0.045 0.608 0.646 S
0.141 0.205 0.704 S
0.205 0.141 0.204 S
0.255 0.745 0.198 S
0.392 0.955 0.646 S
0.479 0.521 0.671 S
0.521 0.479 0.171 S
0.608 0.045 0.146 S
0.745 0.255 0.698 S
0.795 0.859 0.704 S
0.859 0.795 0.204 S
0.955 0.392 0.146 S
```

Computed properties:
Distance to the lowest polymorph of the same formula ... 386 meV/atom
Raw formation energy ... -7.8 eV/f.u.
Volume ... 17.84 Å³ per atom
Fermi-level density of states ... 9.88 states/eV per cell

***

Crystalline La2Co2Ir at its relaxed geometry. Source: the Alexandria database, functional PBE.

POSCAR file:
```
La2Co2Ir
1.0
6.882 0.000 0.000
0.000 6.882 0.000
0.000 0.000 4.149
La Co Ir
4 4 2
Direct
0.192 0.308 0.000 La
0.308 0.808 0.000 La
0.692 0.192 0.000 La
0.808 0.692 0.000 La
0.117 0.617 0.500 Co
0.383 0.117 0.500 Co
0.617 0.883 0.500 Co
0.883 0.383 0.500 Co
0.000 0.000 0.500 Ir
0.500 0.500 0.500 Ir
```

Computed properties:
Formation enthalpy at 0 K ... -0.16 eV per atom
Volume ... 19.65 Å³ per atom
Fermi-level density of states ... 6.77 states/eV per cell

***

Crystalline K2Cd12In5 at its relaxed geometry. Source: the Alexandria database, functional PBE.

POSCAR file:
```
K2Cd12In5
1.0
5.369 3.100 5.021
-5.369 3.100 5.021
0.000 -6.200 5.021
K Cd In
2 12 5
Direct
0.162 0.162 0.162 K
0.838 0.838 0.838 K
0.148 0.148 0.671 Cd
0.148 0.671 0.148 Cd
0.188 0.500 0.812 Cd
0.188 0.812 0.500 Cd
0.329 0.852 0.852 Cd
0.500 0.188 0.812 Cd
0.500 0.812 0.188 Cd
0.671 0.148 0.148 Cd
0.812 0.188 0.500 Cd
0.812 0.500 0.188 Cd
0.852 0.329 0.852 Cd
0.852 0.852 0.329 Cd
0.000 0.500 0.500 In
0.400 0.400 0.400 In
0.500 0.000 0.500 In
0.500 0.500 0.000 In
0.600 0.600 0.600 In
```

Computed properties:
Formation enthalpy at 0 K ... -0.03 eV per atom
Volume ... 26.39 Å³ per atom
Fermi-level density of states ... 7.50 states/eV per cell

***

Crystalline ZrReNi2 at its relaxed geometry. Source: the Alexandria database, functional PBE.

POSCAR file:
```
ZrReNi2
1.0
2.820 0.000 0.000
0.000 2.820 0.000
0.000 0.000 7.271
Zr Re Ni
1 1 2
Direct
0.000 0.000 0.000 Zr
0.500 0.500 0.679 Re
0.000 0.000 0.462 Ni
0.500 0.500 0.261 Ni
```

Computed properties:
Distance to the lowest polymorph of the same formula ... 104 meV/atom
Formation enthalpy at 0 K ... -0.01 eV per atom
Volume ... 14.46 Å³ per atom
Fermi-level density of states ... 3.95 states/eV per cell

***

Crystalline NpGe2Pt at its relaxed geometry. Source: the Alexandria database, functional PBE.

POSCAR file:
```
NpGe2Pt
1.0
0.000 3.356 3.356
3.356 0.000 3.356
3.356 3.356 0.000
Np Ge Pt
1 2 1
Direct
0.000 0.000 0.000 Np
0.250 0.250 0.250 Ge
0.750 0.750 0.750 Ge
0.500 0.500 0.500 Pt
```

Computed properties:
Formation enthalpy at 0 K ... -0.14 eV per atom
Volume ... 18.90 Å³ per atom
Fermi-level density of states ... 8.55 states/eV per cell

***

Crystalline ZrHgW2 at its relaxed geometry. Source: the Alexandria database, functional PBE.

POSCAR file:
```
ZrHgW2
1.0
2.882 0.000 0.000
0.000 4.958 0.000
-0.450 0.000 5.239
Zr Hg W
1 1 2
Direct
0.000 0.000 0.000 Zr
0.500 0.000 0.500 Hg
0.301 0.500 0.770 W
0.699 0.500 0.230 W
```

Computed properties:
Formation enthalpy at 0 K ... 0.44 eV per atom
Volume ... 18.71 Å³ per atom
Fermi-level density of states ... 3.11 states/eV per cell

***

Crystalline ZrInSi4 at its relaxed geometry. Source: the Alexandria database, functional PBE.

POSCAR file:
```
ZrInSi4
1.0
0.000 3.678 3.678
3.678 0.000 3.678
3.678 3.678 0.000
Zr In Si
1 1 4
Direct
0.000 0.000 0.000 Zr
0.750 0.750 0.750 In
0.375 0.375 0.375 Si
0.375 0.375 0.874 Si
0.375 0.874 0.375 Si
0.874 0.375 0.375 Si
```

Computed properties:
Raw formation energy ... 0.5 eV/f.u.
Volume ... 16.59 Å³ per atom
Fermi-level density of states ... 4.80 states/eV per cell

***

Q: Which VASP energy values were calculated for the entries above? A: -4.36, -5.23, -6.60, -7.21, -2.88, -3.47, -5.61, -3.33, -5.92, -8.86, -3.71, -1.68, -2.09, -7.19, -6.75, -1.45, -8.15, -7.20, -8.25, -5.41, in eV per atom.